# RbInSnAu3 | Alexandria via LeMat-Bulk | PBE | relaxed
data_RbInSnAu3
_chemical_formula_sum 'Rb4 In4 Sn4 Au12'
_space_group_name_H-M_alt 'C m c m'
_space_group_IT_number 63
_space_group_name_Hall '-C 2c 2'
_cell_length_a 7.037
_cell_length_b 13.934
_cell_length_c 7.678
_cell_angle_alpha 90.00
_cell_angle_beta 90.00
_cell_angle_gamma 90.00
loop_
_atom_site_label
_atom_site_fract_x
_atom_site_fract_y
_atom_site_fract_z
Rb1 0.000 0.226 0.250
In1 0.000 0.096 0.750
Sn1 0.000 0.482 0.750
Au1 0.000 0.290 0.750
Au2 0.213 0.000 0.000
# DFT formation energy ... -0.222 eV/atom
# Calculated density ... 8.03 Mg/m³
# DOS(E_F) ... 4.5 states/eV per cell

# CeNdI5 | Alexandria via LeMat-Bulk | PBE | relaxed
data_CeNdI5
_chemical_formula_sum 'Ce2 Nd2 I10'
_space_group_name_H-M_alt 'P 1 21/m 1'
_space_group_IT_number 11
_space_group_name_Hall '-P 2yb'
_cell_length_a 9.364
_cell_length_b 4.335
_cell_length_c 15.054
_cell_angle_alpha 90.00
_cell_angle_beta 94.36
_cell_angle_gamma 90.00
loop_
_atom_site_label
_atom_site_fract_x
_atom_site_fract_y
_atom_site_fract_z
Ce1 0.098 0.250 0.150
Nd1 0.416 0.750 0.344
I1 0.068 0.750 0.309
I2 0.141 0.250 0.930
I3 0.319 0.250 0.485
I4 0.350 0.750 0.129
I5 0.364 0.750 0.713
# Calculated density ... 5.01 Mg/m³
# DOS(E_F) ... 12.4 states/eV per cell
# Formation energy without anion corrections ... -1.358 eV per atom

# SrNbCo3 | Alexandria via LeMat-Bulk | PBE | relaxed
data_SrNbCo3
_chemical_formula_sum 'Sr1 Nb1 Co3'
_space_group_name_H-M_alt 'P m -3 m'
_space_group_IT_number 221
_space_group_name_Hall '-P 4 2 3'
_cell_length_a 4.644
_cell_length_b 4.644
_cell_length_c 4.644
_cell_angle_alpha 90.00
_cell_angle_beta 90.00
_cell_angle_gamma 90.00
loop_
_atom_site_label
_atom_site_fract_x
_atom_site_fract_y
_atom_site_fract_z
Sr1 0.000 0.000 0.000
Nb1 0.500 0.500 0.500
Co1 0.000 0.500 0.500
# DFT formation energy ... 0.796 eV/atom
# Calculated density ... 5.93 Mg/m³
# DOS(E_F) ... 5.3 states/eV per cell
# Excess energy over the best structure of this formula in the dataset ... 0.000 eV/atom

# Rb2RhO5 | Alexandria via LeMat-Bulk | PBE | relaxed
data_Rb2RhO5
_chemical_formula_sum 'Rb2 Rh1 O5'
_space_group_name_H-M_alt 'P 4/m m m'
_space_group_IT_number 123
_space_group_name_Hall '-P 4 2'
_cell_length_a 6.492
_cell_length_b 6.492
_cell_length_c 3.916
_cell_angle_alpha 90.00
_cell_angle_beta 90.00
_cell_angle_gamma 90.00
loop_
_atom_site_label
_atom_site_fract_x
_atom_site_fract_y
_atom_site_fract_z
Rb1 0.000 0.500 0.000
Rh1 0.000 0.000 0.500
O1 0.000 0.000 0.000
O2 0.208 0.208 0.500
# Calculated density ... 3.56 Mg/m³
# DOS(E_F) ... 5.5 states/eV per cell
# Formation energy without anion corrections ... -0.613 eV per atom

# PrNdSm2Er5 | Alexandria via LeMat-Bulk | PBE | relaxed
data_PrNdSm2Er5
_chemical_formula_sum 'Pr4 Nd4 Sm8 Er20'
_space_group_name_H-M_alt 'I 4/m c m'
_space_group_IT_number 140
_space_group_name_Hall '-I 4 2c'
_cell_length_a 8.731
_cell_length_b 8.731
_cell_length_c 15.392
_cell_angle_alpha 90.00
_cell_angle_beta 90.00
_cell_angle_gamma 90.00
loop_
_atom_site_label
_atom_site_fract_x
_atom_site_fract_y
_atom_site_fract_z
Pr1 0.000 0.000 0.250
Nd1 0.000 0.500 0.250
Sm1 0.117 0.383 0.000
Er1 0.000 0.000 0.000
Er2 0.208 0.292 0.365
# DFT formation energy ... 0.255 eV/atom
# Calculated density ... 8.05 Mg/m³
# DOS(E_F) ... 39.0 states/eV per cell

# Ca8Bi5N | Alexandria via LeMat-Bulk | PBE | relaxed
data_Ca8Bi5N
_chemical_formula_sum 'Ca16 Bi10 N2'
_space_group_name_H-M_alt 'I -4'
_space_group_IT_number 82
_space_group_name_Hall 'I -4'
_cell_length_a 9.394
_cell_length_b 9.394
_cell_length_c 9.956
_cell_angle_alpha 90.00
_cell_angle_beta 90.00
_cell_angle_gamma 90.00
loop_
_atom_site_label
_atom_site_fract_x
_atom_site_fract_y
_atom_site_fract_z
Ca1 0.049 0.246 0.037
Ca2 0.087 0.179 0.671
Bi1 0.000 0.500 0.750
Bi2 0.135 0.249 0.358
N1 0.000 0.000 0.000
# Calculated density ... 5.21 Mg/m³
# DOS(E_F) ... 15.3 states/eV per cell
# Formation energy without anion corrections ... -0.734 eV per atom

# Pm3AgHg2 | Alexandria via LeMat-Bulk | PBE | relaxed
data_Pm3AgHg2
_chemical_formula_sum 'Pm3 Ag1 Hg2'
_space_group_name_H-M_alt 'P 4/m m m'
_space_group_IT_number 123
_space_group_name_Hall '-P 4 2'
_cell_length_a 3.791
_cell_length_b 3.791
_cell_length_c 11.303
_cell_angle_alpha 90.00
_cell_angle_beta 90.00
_cell_angle_gamma 90.00
loop_
_atom_site_label
_atom_site_fract_x
_atom_site_fract_y
_atom_site_fract_z
Pm1 0.000 0.000 0.000
Pm2 0.000 0.000 0.337
Ag1 0.500 0.500 0.500
Hg1 0.500 0.500 0.168
# DFT formation energy ... -0.404 eV/atom
# Calculated density ... 9.65 Mg/m³
# DOS(E_F) ... 6.5 states/eV per cell
# Excess energy over the best structure of this formula in the dataset ... 0.004 eV/atom

# V4OsRh2 | Alexandria via LeMat-Bulk | PBE | relaxed
data_V4OsRh2
_chemical_formula_sum 'V8 Os2 Rh4'
_space_group_name_H-M_alt 'I 4/m m m'
_space_group_IT_number 139
_space_group_name_Hall '-I 4 2'
_cell_length_a 4.549
_cell_length_b 4.549
_cell_length_c 12.332
_cell_angle_alpha 90.00
_cell_angle_beta 90.00
_cell_angle_gamma 90.00
loop_
_atom_site_label
_atom_site_fract_x
_atom_site_fract_y
_atom_site_fract_z
V1 0.000 0.000 0.197
V2 0.000 0.500 0.000
Os1 0.000 0.000 0.000
Rh1 0.000 0.000 0.386
# DFT formation energy ... 0.785 eV/atom
# Calculated density ... 7.80 Mg/m³
# DOS(E_F) ... 21.0 states/eV per cell

Q: The highest calculated density belongs to which entry?
A: Pm3AgHg2

Q: calculated density of number 5 (PrNdSm2Er5)?
A: 8.05 Mg/m³

Repeat the third record exactly.
# SrNbCo3 | Alexandria via LeMat-Bulk | PBE | relaxed
data_SrNbCo3
_chemical_formula_sum 'Sr1 Nb1 Co3'
_space_group_name_H-M_alt 'P m -3 m'
_space_group_IT_number 221
_space_group_name_Hall '-P 4 2 3'
_cell_length_a 4.644
_cell_length_b 4.644
_cell_length_c 4.644
_cell_angle_alpha 90.00
_cell_angle_beta 90.00
_cell_angle_gamma 90.00
loop_
_atom_site_label
_atom_site_fract_x
_atom_site_fract_y
_atom_site_fract_z
Sr1 0.000 0.000 0.000
Nb1 0.500 0.500 0.500
Co1 0.000 0.500 0.500
# DFT formation energy ... 0.796 eV/atom
# Calculated density ... 5.93 Mg/m³
# DOS(E_F) ... 5.3 states/eV per cell
# Excess energy over the best structure of this formula in the dataset ... 0.000 eV/atom

What did the fifth record say?
# PrNdSm2Er5 | Alexandria via LeMat-Bulk | PBE | relaxed
data_PrNdSm2Er5
_chemical_formula_sum 'Pr4 Nd4 Sm8 Er20'
_space_group_name_H-M_alt 'I 4/m c m'
_space_group_IT_number 140
_space_group_name_Hall '-I 4 2c'
_cell_length_a 8.731
_cell_length_b 8.731
_cell_length_c 15.392
_cell_angle_alpha 90.00
_cell_angle_beta 90.00
_cell_angle_gamma 90.00
loop_
_atom_site_label
_atom_site_fract_x
_atom_site_fract_y
_atom_site_fract_z
Pr1 0.000 0.000 0.250
Nd1 0.000 0.500 0.250
Sm1 0.117 0.383 0.000
Er1 0.000 0.000 0.000
Er2 0.208 0.292 0.365
# DFT formation energy ... 0.255 eV/atom
# Calculated density ... 8.05 Mg/m³
# DOS(E_F) ... 39.0 states/eV per cell